# 1
A geometry-optimized KCeGe structure, computed with PBE.

Computed properties:
V: 34.0 Å³ per atom
E_tot: -4.1787 eV/atom
DOS at the Fermi energy: 1.07 states/eV per atom
Crystal system: triclinic
Space group: P-1 (2)

Unit cell a=3.954 b=5.576 c=14.392 alpha=114.29 beta=106.31 gamma=44.84
Fractional coordinates of all 6 atoms:
Ge  0.053  0.361  0.161
Ge  0.947  0.639  0.839
K  0.032  0.064  0.338
K  0.968  0.936  0.662
Ce  0.057  0.757  0.062
Ce  0.943  0.243  0.938


# 2
A geometry-optimized KCeGe4 structure, computed with PBE.

Computed properties:
V: 22.5 Å³ per atom
E_tot: -4.4445 eV/atom
DOS at the Fermi energy: 1.21 states/eV per atom
Crystal system: cubic
Space group: F-43m (216)

Unit cell a=5.759 b=5.759 c=5.759 alpha=60.00 beta=60.00 gamma=60.00
Fractional coordinates of all 6 atoms:
Ge  0.622  0.135  0.622
Ge  0.622  0.622  0.622
Ge  0.135  0.622  0.622
Ge  0.622  0.622  0.135
Ce  0.250  0.250  0.250
K  0.000  0.000  0.000


# 3
A geometry-optimized KCeGe2O6 structure, computed with PBE.

Computed properties:
V: 18.2 Å³ per atom
E_tot: -6.5694 eV/atom
DOS at the Fermi energy: 0.43 states/eV per atom
Crystal system: trigonal
Formation energy without anion corrections: -19.679 eV/f.u.
Space group: R-3 (148)

Unit cell a=5.932 b=5.932 c=6.894 alpha=64.52 beta=64.52 gamma=60.00
Fractional coordinates of all 10 atoms:
O  0.069  0.494  0.723
O  0.494  0.714  0.723
O  0.286  0.931  0.277
O  0.714  0.069  0.723
O  0.506  0.286  0.277
O  0.931  0.506  0.277
Ge  0.239  0.239  0.284
Ge  0.761  0.761  0.716
Ce  0.500  0.500  0.500
K  0.000  0.000  0.000